Record 1
This record from Alexandria via LeMat-Bulk describes a geometry-optimized SrTi3Bi structure. The functional is GGA-PBE.

Cell: 5.301 5.301 5.301 Å, 90.00 90.00 90.00°
Atoms (fractional coordinates):
Sr (0.000, 0.000, 0.000)
Ti (0.000, 0.500, 0.500)
Ti (0.500, 0.000, 0.500)
Ti (0.500, 0.500, 0.000)
Bi (0.500, 0.500, 0.500)

The symmetry is Pm-3m. Its formation energy is 900 meV/atom. As for the total moment: 0.00 μB/cell. Its relative energy among the computed polymorphs is 0.000 eV per atom.


Record 2
This record from Alexandria via LeMat-Bulk describes a geometry-optimized H3IrBr structure. The functional is GGA-PBE.

Cell: 3.685 3.685 3.685 Å, 90.00 90.00 90.00°
Atoms (fractional coordinates):
H (0.000, 0.000, 0.500)
H (0.000, 0.500, 0.000)
H (0.500, 0.000, 0.000)
Ir (0.000, 0.000, 0.000)
Br (0.500, 0.500, 0.500)

The symmetry is Pm-3m. As for the total moment: 0.92 μB/cell. Its relative energy among the computed polymorphs is 0.000 eV per atom.